*P*
# Pm2SmHo6

Crystalline Pm2SmHo6 at its relaxed geometry (PBE, Alexandria via LeMat-Bulk).

Calculated values
DOS(E_F)   1.478 states/eV per atom
Crystal system   trigonal

a = 8.6466 Å, b = 8.6466 Å, c = 8.6466 Å
α = 47.39°, β = 47.39°, γ = 47.39°
Closest atoms and distances in Å follow each position.
Sites, in units of the cell vectors:
1 Pm 0.0000 0.0000 0.0000  9 Ho 3.57-3.91, 1 Pm 3.68
2 Pm 0.1603 0.1603 0.1603  9 Ho 3.53-3.73, 1 Pm 3.68
3 Sm 0.4086 0.4086 0.4086  6 Ho 3.20-3.27
4 Ho 0.1810 0.6892 0.6892  1 Sm 3.27, 6 Ho 3.29-3.53, 2 Pm 3.53
5 Ho 0.4619 0.4619 0.9719  1 Sm 3.20, 6 Ho 3.29-3.55, 2 Pm 3.57
6 Ho 0.4619 0.9719 0.4619  1 Sm 3.20, 6 Ho 3.29-3.55, 2 Pm 3.57
7 Ho 0.6892 0.1810 0.6892  1 Sm 3.27, 6 Ho 3.29-3.53, 2 Pm 3.53
8 Ho 0.6892 0.6892 0.1810  1 Sm 3.27, 6 Ho 3.29-3.53, 2 Pm 3.53
9 Ho 0.9719 0.4619 0.4619  1 Sm 3.20, 6 Ho 3.29-3.55, 2 Pm 3.57



*Q*
# Pm2SmHo6

Crystalline Pm2SmHo6 at its relaxed geometry (PBE, Alexandria via LeMat-Bulk).

Calculated values
DOS(E_F)   1.584 states/eV per atom
Crystal system   monoclinic

a = 9.7601 Å, b = 9.7601 Å, c = 3.4906 Å
α = 100.25°, β = 100.25°, γ = 63.64°
Closest atoms and distances in Å follow each position.
Sites, in units of the cell vectors:
1 Pm 0.1570 0.1570 0.1564  10 Ho 3.45-3.64, 2 Pm 3.49
2 Pm 0.8430 0.8430 0.8436  10 Ho 3.45-3.64, 2 Pm 3.49
3 Sm 0.5000 0.5000 0.0000  8 Ho 3.35-3.67, 2 Sm 3.49
4 Ho 0.1555 0.4891 0.8212  1 Sm 3.35, 7 Ho 3.39-3.70, 3 Pm 3.45-3.63
5 Ho 0.1864 0.8136 0.5000  7 Ho 3.49-3.84, 4 Pm 3.63-3.64, 2 Sm 3.67
6 Ho 0.4891 0.1555 0.8212  1 Sm 3.35, 7 Ho 3.39-3.70, 3 Pm 3.45-3.63
7 Ho 0.5109 0.8445 0.1788  1 Sm 3.35, 7 Ho 3.39-3.70, 3 Pm 3.45-3.63
8 Ho 0.8136 0.1864 0.5000  7 Ho 3.49-3.84, 4 Pm 3.63-3.64, 2 Sm 3.67
9 Ho 0.8445 0.5109 0.1788  1 Sm 3.35, 7 Ho 3.39-3.70, 3 Pm 3.45-3.63



Which of them is the most stable? Correct choice: *Q*.



*P*
# Pm2Sm5Ho12

Crystalline Pm2Sm5Ho12 at its relaxed geometry (PBE, Alexandria via LeMat-Bulk).

Calculated values
DOS(E_F)   1.326 states/eV per atom
Crystal system   monoclinic

a = 9.0731 Å, b = 9.0731 Å, c = 8.6210 Å
α = 91.86°, β = 91.86°, γ = 61.56°
Closest atoms and distances in Å follow each position.
Sites, in units of the cell vectors:
1 Pm 0.1750 0.8250 0.0000  1 Pm 3.25, 8 Ho 3.35-3.59, 2 Sm 3.60
2 Pm 0.8250 0.1750 0.0000  1 Pm 3.25, 8 Ho 3.35-3.59, 2 Sm 3.60
3 Sm 0.2061 0.2061 0.0190  8 Ho 3.48-3.69, 2 Pm 3.60, 1 Sm 3.62
4 Sm 0.2696 0.2696 0.4279  8 Ho 3.38-3.61, 2 Sm 3.62
5 Sm 0.5000 0.5000 0.5000  10 Ho 3.41-3.76, 2 Sm 3.62
6 Sm 0.7304 0.7304 0.5721  8 Ho 3.38-3.61, 2 Sm 3.62
7 Sm 0.7939 0.7939 0.9810  8 Ho 3.48-3.69, 2 Pm 3.60, 1 Sm 3.62
8 Ho 0.0572 0.0572 0.3353  2 Sm 3.38-3.65, 7 Ho 3.40-3.49, 2 Pm 3.40
9 Ho 0.0606 0.6806 0.3359  4 Sm 3.39-3.76, 5 Ho 3.40-3.53, 1 Pm 3.59
10 Ho 0.1720 0.5293 0.7589  4 Ho 3.32-3.70, 1 Pm 3.35, 4 Sm 3.50-3.68
11 Ho 0.3194 0.9394 0.6641  4 Sm 3.39-3.76, 5 Ho 3.40-3.53, 1 Pm 3.59
12 Ho 0.4235 0.4235 0.1246  3 Ho 3.27-3.52, 3 Sm 3.41-3.61, 2 Pm 3.43
13 Ho 0.4707 0.8280 0.2411  4 Ho 3.32-3.70, 1 Pm 3.35, 4 Sm 3.50-3.68
14 Ho 0.5293 0.1720 0.7589  4 Ho 3.32-3.70, 1 Pm 3.35, 4 Sm 3.50-3.68
15 Ho 0.5765 0.5765 0.8754  3 Ho 3.27-3.52, 3 Sm 3.41-3.61, 2 Pm 3.43
16 Ho 0.6806 0.0606 0.3359  4 Sm 3.39-3.76, 5 Ho 3.40-3.53, 1 Pm 3.59
17 Ho 0.8280 0.4707 0.2411  4 Ho 3.32-3.70, 1 Pm 3.35, 4 Sm 3.50-3.68
18 Ho 0.9394 0.3194 0.6641  4 Sm 3.39-3.76, 5 Ho 3.40-3.53, 1 Pm 3.59
19 Ho 0.9428 0.9428 0.6647  2 Sm 3.38-3.65, 7 Ho 3.40-3.49, 2 Pm 3.40



*Q*
# Pm2Sm5Ho12

Crystalline Pm2Sm5Ho12 at its relaxed geometry (PBE, Alexandria via LeMat-Bulk).

Calculated values
DOS(E_F)   1.365 states/eV per atom
Crystal system   triclinic

a = 6.1722 Å, b = 9.4463 Å, c = 10.6782 Å
α = 101.01°, β = 95.49°, γ = 90.12°
Closest atoms and distances in Å follow each position.
Sites, in units of the cell vectors:
1 Pm 0.0799 0.3165 0.4736  9 Ho 3.55-3.58, 1 Pm 3.56, 2 Sm 3.58
2 Pm 0.9201 0.6835 0.5264  9 Ho 3.55-3.58, 1 Pm 3.56, 2 Sm 3.58
3 Sm 0.2375 0.9472 0.4208  2 Sm 3.56-3.57, 8 Ho 3.56-3.57, 2 Pm 3.58
4 Sm 0.3416 0.3682 0.0524  10 Ho 3.54-3.57, 2 Sm 3.57
5 Sm 0.5000 0.0000 0.0000  10 Ho 3.56, 2 Sm 3.57
6 Sm 0.6584 0.6318 0.9476  10 Ho 3.54-3.57, 2 Sm 3.57
7 Sm 0.7625 0.0528 0.5792  2 Sm 3.56-3.57, 8 Ho 3.56-3.57, 2 Pm 3.58
8 Ho 0.0258 0.1053 0.1570  7 Ho 3.54-3.57, 4 Sm 3.56-3.57, 1 Pm 3.57
9 Ho 0.1315 0.5261 0.7902  7 Ho 3.55-3.57, 3 Sm 3.56, 2 Pm 3.56-3.57
10 Ho 0.1836 0.7368 0.1046  7 Ho 3.55-3.57, 5 Sm 3.55-3.57
11 Ho 0.2890 0.1582 0.7379  5 Sm 3.54-3.57, 6 Ho 3.55-3.58, 1 Pm 3.58
12 Ho 0.3956 0.5788 0.3678  3 Pm 3.55-3.57, 2 Sm 3.56-3.57, 7 Ho 3.56-3.57
13 Ho 0.4464 0.7888 0.6847  4 Sm 3.56-3.57, 6 Ho 3.56-3.58, 2 Pm 3.56-3.57
14 Ho 0.5536 0.2112 0.3153  4 Sm 3.56-3.57, 6 Ho 3.56-3.58, 2 Pm 3.56-3.57
15 Ho 0.6044 0.4212 0.6322  3 Pm 3.55-3.57, 2 Sm 3.56-3.57, 7 Ho 3.56-3.57
16 Ho 0.7110 0.8418 0.2621  5 Sm 3.54-3.57, 6 Ho 3.55-3.58, 1 Pm 3.58
17 Ho 0.8164 0.2632 0.8954  7 Ho 3.55-3.57, 5 Sm 3.55-3.57
18 Ho 0.8685 0.4739 0.2098  7 Ho 3.55-3.57, 3 Sm 3.56, 2 Pm 3.56-3.57
19 Ho 0.9742 0.8947 0.8430  7 Ho 3.54-3.57, 4 Sm 3.56-3.57, 1 Pm 3.57



Which of them is the most stable? Correct choice: *Q*.



*P*
# PmSm2Ho6

Crystalline PmSm2Ho6 at its relaxed geometry (PBE, Alexandria via LeMat-Bulk).

Calculated values
DOS(E_F)   1.467 states/eV per atom
Crystal system   trigonal

a = 7.4762 Å, b = 7.4762 Å, c = 6.0246 Å
α = 90.00°, β = 90.00°, γ = 120.00°
Closest atoms and distances in Å follow each position.
Sites, in units of the cell vectors:
1 Pm 0.0000 0.0000 0.0000  6 Ho 3.01
2 Sm 0.3333 0.6667 0.7867  12 Ho 3.51-3.78
3 Sm 0.6667 0.3333 0.2133  12 Ho 3.51-3.78
4 Ho 0.1876 0.3752 0.2951  1 Pm 3.01, 2 Ho 3.27
5 Ho 0.1876 0.8124 0.2951  1 Pm 3.01, 2 Ho 3.27
6 Ho 0.3752 0.1876 0.7049  1 Pm 3.01, 2 Ho 3.27
7 Ho 0.6248 0.8124 0.2951  1 Pm 3.01, 2 Ho 3.27
8 Ho 0.8124 0.1876 0.7049  1 Pm 3.01, 2 Ho 3.27
9 Ho 0.8124 0.6248 0.7049  1 Pm 3.01, 2 Ho 3.27



*Q*
# PmSm2Ho6

Crystalline PmSm2Ho6 at its relaxed geometry (PBE, Alexandria via LeMat-Bulk).

Calculated values
DOS(E_F)   1.594 states/eV per atom
Crystal system   orthorhombic

a = 9.7554 Å, b = 9.7554 Å, c = 9.7554 Å
α = 159.41°, β = 116.35°, γ = 67.67°
Closest atoms and distances in Å follow each position.
Sites, in units of the cell vectors:
1 Pm 0.0000 0.0000 0.0000  8 Ho 3.36-3.68, 2 Pm 3.49
2 Sm 0.3425 0.8425 0.5000  10 Ho 3.44-3.63, 2 Sm 3.49
3 Sm 0.6575 0.1575 0.5000  10 Ho 3.44-3.63, 2 Sm 3.49
4 Ho 0.0107 0.1778 0.8329  1 Pm 3.36, 7 Ho 3.38-3.70, 3 Sm 3.44-3.62
5 Ho 0.3148 0.5000 0.8148  7 Ho 3.49-3.81, 4 Sm 3.63, 2 Pm 3.68
6 Ho 0.3449 0.1778 0.1671  1 Pm 3.36, 7 Ho 3.38-3.70, 3 Sm 3.44-3.62
7 Ho 0.6551 0.8222 0.8329  1 Pm 3.36, 7 Ho 3.38-3.70, 3 Sm 3.44-3.62
8 Ho 0.6852 0.5000 0.1852  7 Ho 3.49-3.81, 4 Sm 3.63, 2 Pm 3.68
9 Ho 0.9893 0.8222 0.1671  1 Pm 3.36, 7 Ho 3.38-3.70, 3 Sm 3.44-3.62



Which of them is the most stable? Correct choice: *Q*.



*P*
# Pm4SmHo

Crystalline Pm4SmHo at its relaxed geometry (PBE, Alexandria via LeMat-Bulk).

Calculated values
DOS(E_F)   1.633 states/eV per atom
Crystal system   orthorhombic

a = 12.0995 Å, b = 12.0995 Å, c = 12.0995 Å
α = 152.13°, β = 41.11°, γ = 150.39°
Closest atoms and distances in Å follow each position.
Sites, in units of the cell vectors:
1 Pm 0.0946 0.4257 0.6689  7 Pm 3.50-3.68, 4 Ho 3.57-3.62, 1 Sm 3.85
2 Pm 0.1482 0.0589 0.0893  3 Sm 3.40-3.57, 6 Pm 3.50-3.75, 1 Ho 3.64
3 Pm 0.2568 0.4257 0.8311  7 Pm 3.50-3.68, 4 Ho 3.57-3.62, 1 Sm 3.85
4 Pm 0.4695 0.0589 0.4107  3 Sm 3.40-3.57, 6 Pm 3.50-3.75, 1 Ho 3.64
5 Pm 0.5305 0.9411 0.5893  3 Sm 3.40-3.57, 6 Pm 3.50-3.75, 1 Ho 3.64
6 Pm 0.7432 0.5743 0.1689  7 Pm 3.50-3.68, 4 Ho 3.57-3.62, 1 Sm 3.85
7 Pm 0.8518 0.9411 0.9107  3 Sm 3.40-3.57, 6 Pm 3.50-3.75, 1 Ho 3.64
8 Pm 0.9054 0.5743 0.3311  7 Pm 3.50-3.68, 4 Ho 3.57-3.62, 1 Sm 3.85
9 Sm 0.0000 0.5000 0.5000  6 Pm 3.40-3.57
10 Sm 0.5000 0.5000 0.0000  6 Pm 3.40-3.57
11 Ho 0.3279 0.0779 0.2500  10 Pm 3.57-3.64, 2 Ho 3.61
12 Ho 0.6721 0.9221 0.7500  10 Pm 3.57-3.64, 2 Ho 3.61



*Q*
# Pm4SmHo

Crystalline Pm4SmHo at its relaxed geometry (PBE, Alexandria via LeMat-Bulk).

Calculated values
DOS(E_F)   1.999 states/eV per atom
Crystal system   monoclinic

a = 6.3299 Å, b = 6.3299 Å, c = 6.0365 Å
α = 90.17°, β = 90.17°, γ = 56.79°
Closest atoms and distances in Å follow each position.
Sites, in units of the cell vectors:
1 Pm 0.1636 0.1636 0.0190  2 Ho 3.43-3.62, 3 Sm 3.52-3.75, 5 Pm 3.56-3.65
2 Pm 0.3355 0.3355 0.5177  2 Sm 3.43-3.63, 3 Ho 3.53-3.74, 5 Pm 3.56-3.67
3 Pm 0.6645 0.6645 0.4823  2 Sm 3.43-3.63, 3 Ho 3.53-3.74, 5 Pm 3.56-3.67
4 Pm 0.8364 0.8364 0.9810  2 Ho 3.43-3.62, 3 Sm 3.52-3.75, 5 Pm 3.56-3.65
5 Sm 0.5000 0.5000 0.0000  10 Pm 3.43-3.75
6 Ho 0.0000 0.0000 0.5000  10 Pm 3.43-3.74



Which of them is the most stable? Correct choice: *P*.